! Sr2CuHg GGA-PBEsol relaxed; values from VASP
! - formation enthalpy at 0 K (meV per atom) = -84
! - total magnetization (μB per formula unit) = 0.00
! - ΔE to the lowest computed polymorph (eV/f.u.) = 0.75
! - crystal system = tetragonal
&SYSTEM
  ibrav = 0, nat = 4, ntyp = 3
/
ATOMIC_SPECIES
Sr 87.62 Sr.upf
Cu 63.55 Cu.upf
Hg 200.59 Hg.upf
ATOMIC_POSITIONS angstrom
Sr 0.000 0.000 0.000
Sr 2.250 2.250 2.969
Cu 0.000 0.000 3.224
Hg 2.250 2.250 6.124
CELL_PARAMETERS angstrom
4.500 0.000 0.000
0.000 4.500 0.000
0.000 0.000 6.414